This record from Alexandria describes a relaxed structure of Ce2ZnGa3Pt4. The functional is PBE.

## Properties
Crystal system   tetragonal
ΔE_f   -860 kJ/mol of formula units
DOS(E_F)   1.171 states/eV/atom
VASP energy   -0.4064 Ry per atom
Mass density   11.6 Mg/m³

a = 4.151 Å, b = 4.151 Å, c = 11.069 Å
α = 90.00°, β = 90.00°, γ = 90.00°
Sites, in units of the cell vectors:
Pt: 0.500 0.500 0.000
Pt: 0.000 0.500 0.357
Pt: 0.000 0.000 0.000
Pt: 0.500 0.000 0.643
Ce: 0.000 0.500 0.744
Ce: 0.500 0.000 0.256
Zn: 0.500 0.500 0.500
Ga: 0.500 0.000 0.868
Ga: 0.000 0.000 0.500
Ga: 0.000 0.500 0.132


This record from Alexandria describes a relaxed structure of LiYTl2Br6. The functional is PBE.

## Properties
Crystal system   monoclinic
Uncorrected formation energy   -14.1 eV/f.u.
DOS(E_F)   0.000 states/eV/atom
VASP energy   -0.2735 Ry per atom
Mass density   5.0 Mg/m³

a = 7.592 Å, b = 7.888 Å, c = 10.823 Å
α = 90.00°, β = 89.69°, γ = 90.00°
Sites, in units of the cell vectors:
Li: 0.500 0.000 0.000
Li: 0.000 0.500 0.500
Br: 0.915 0.514 0.253
Br: 0.585 0.014 0.247
Br: 0.800 0.795 0.958
Br: 0.299 0.703 0.043
Br: 0.201 0.203 0.457
Br: 0.085 0.486 0.747
Br: 0.200 0.205 0.042
Br: 0.701 0.297 0.957
Br: 0.799 0.797 0.543
Br: 0.700 0.295 0.542
Br: 0.415 0.986 0.753
Br: 0.300 0.705 0.458
Tl: 0.519 0.570 0.753
Tl: 0.019 0.930 0.253
Tl: 0.481 0.430 0.247
Tl: 0.981 0.070 0.747
Y: 0.500 0.000 0.500
Y: 0.000 0.500 0.000


This record from Alexandria describes a relaxed structure of NaCd3Pb. The functional is PBE.

## Properties
Crystal system   monoclinic
ΔE_f   -5 kJ/mol of formula units
DOS(E_F)   0.338 states/eV/atom
VASP energy   -0.1151 Ry per atom
Mass density   6.5 Mg/m³
Excess energy over the best structure of this formula in the dataset   35.0 meV/atom

a = 5.700 Å, b = 5.700 Å, c = 5.759 Å
α = 104.88°, β = 104.88°, γ = 117.27°
Sites, in units of the cell vectors:
Cd: 0.067 0.067 0.136
Cd: 0.627 0.131 0.256
Cd: 0.131 0.627 0.256
Pb: 0.764 0.764 0.527
Na: 0.408 0.408 0.818


This record from Alexandria describes a relaxed structure of AcPS3. The functional is PBE.

## Properties
Crystal system   monoclinic
Uncorrected formation energy   -5.7 eV/f.u.
VASP energy   -0.4054 Ry per atom
Mass density   4.7 Mg/m³
Excess energy over the best structure of this formula in the dataset   53.1 meV/atom

a = 6.028 Å, b = 8.854 Å, c = 9.393 Å
α = 90.00°, β = 90.93°, γ = 90.00°
Sites, in units of the cell vectors:
Ac: 0.062 0.369 0.745
Ac: 0.938 0.631 0.255
Ac: 0.562 0.131 0.245
Ac: 0.438 0.869 0.755
S: 0.425 0.529 0.260
S: 0.878 0.341 0.424
S: 0.663 0.834 0.459
S: 0.163 0.666 0.959
S: 0.837 0.334 0.041
S: 0.122 0.659 0.576
S: 0.622 0.841 0.076
S: 0.925 0.971 0.760
S: 0.075 0.029 0.240
S: 0.378 0.159 0.924
S: 0.575 0.471 0.740
S: 0.337 0.166 0.541
P: 0.473 0.615 0.054
P: 0.027 0.115 0.446
P: 0.527 0.385 0.946
P: 0.973 0.885 0.554


This record from Alexandria describes a relaxed structure of PmNd4Rh. The functional is PBE.

## Properties
Crystal system   monoclinic
ΔE_f   -108 kJ/mol of formula units
DOS(E_F)   1.270 states/eV/atom
VASP energy   -0.3956 Ry per atom
Mass density   7.1 Mg/m³

a = 6.072 Å, b = 7.645 Å, c = 9.613 Å
α = 113.43°, β = 108.46°, γ = 90.00°
Sites, in units of the cell vectors:
Nd: 0.000 0.205 0.000
Nd: 0.000 0.795 0.000
Nd: 0.384 0.132 0.767
Nd: 0.616 0.365 0.233
Nd: 0.616 0.868 0.233
Nd: 0.828 0.328 0.657
Nd: 0.172 0.672 0.343
Nd: 0.384 0.635 0.767
Pm: 0.198 0.198 0.397
Pm: 0.802 0.802 0.603
Rh: 0.270 0.500 0.000
Rh: 0.730 0.500 0.000


This record from Alexandria describes a relaxed structure of RbZnBiF6. The functional is PBE.

## Properties
Crystal system   trigonal
Uncorrected formation energy   -22.5 eV/f.u.
DOS(E_F)   0.000 states/eV/atom
VASP energy   -0.3252 Ry per atom
Mass density   4.4 Mg/m³

a = 5.933 Å, b = 5.933 Å, c = 11.624 Å
α = 90.00°, β = 90.00°, γ = 120.00°
Sites, in units of the cell vectors:
F: 0.974 0.369 0.150
F: 0.369 0.974 0.650
F: 0.394 0.026 0.150
F: 0.394 0.369 0.350
F: 0.631 0.026 0.350
F: 0.606 0.974 0.850
F: 0.369 0.395 0.850
F: 0.026 0.395 0.650
F: 0.606 0.631 0.650
F: 0.026 0.631 0.850
F: 0.974 0.605 0.350
F: 0.631 0.605 0.150
Zn: 0.667 0.333 0.250
Zn: 0.333 0.667 0.750
Bi: 0.667 0.333 0.750
Bi: 0.333 0.667 0.250
Rb: 0.000 0.000 0.000
Rb: 0.000 0.000 0.500


This record from Alexandria describes a relaxed structure of Ca3CePa2N6. The functional is PBE.

## Properties
Crystal system   monoclinic
Uncorrected formation energy   -17.2 eV/f.u.
DOS(E_F)   0.609 states/eV/atom
VASP energy   -0.6007 Ry per atom
Mass density   7.1 Mg/m³

a = 3.573 Å, b = 7.056 Å, c = 7.871 Å
α = 101.82°, β = 103.12°, γ = 90.00°
Sites, in units of the cell vectors:
N: 0.335 0.888 0.670
N: 0.013 0.249 0.026
N: 0.987 0.751 0.974
N: 0.665 0.112 0.330
N: 0.676 0.561 0.352
N: 0.324 0.439 0.648
Pa: 0.166 0.330 0.331
Pa: 0.834 0.670 0.669
Ca: 0.166 0.834 0.331
Ca: 0.834 0.166 0.669
Ca: 0.500 0.500 0.000
Ce: 0.500 0.000 0.000


This record from Alexandria describes a relaxed structure of VTe2Mo. The functional is PBE.

## Properties
Crystal system   cubic
Uncorrected formation energy   0.8 eV/f.u.
DOS(E_F)   0.516 states/eV/atom
VASP energy   -0.4666 Ry per atom
Mass density   8.8 Mg/m³
Excess energy over the best structure of this formula in the dataset   0.0 meV/atom

a = 4.760 Å, b = 4.760 Å, c = 4.760 Å
α = 60.00°, β = 60.00°, γ = 60.00°
Sites, in units of the cell vectors:
V: 0.000 0.000 0.000
Te: 0.750 0.750 0.750
Te: 0.250 0.250 0.250
Mo: 0.500 0.500 0.500


This record from Alexandria describes a relaxed structure of Tb6CoPd2. The functional is PBE.

## Properties
Crystal system   monoclinic
ΔE_f   -388 kJ/mol of formula units
DOS(E_F)   0.879 states/eV/atom
VASP energy   -0.4025 Ry per atom
Mass density   8.6 Mg/m³

a = 6.542 Å, b = 7.304 Å, c = 9.899 Å
α = 90.00°, β = 90.08°, γ = 90.00°
Sites, in units of the cell vectors:
Tb: 0.828 0.683 0.564
Tb: 0.142 0.034 0.750
Tb: 0.167 0.321 0.064
Tb: 0.172 0.317 0.436
Tb: 0.672 0.183 0.936
Tb: 0.642 0.466 0.250
Tb: 0.358 0.534 0.750
Tb: 0.833 0.679 0.936
Tb: 0.667 0.179 0.564
Tb: 0.333 0.821 0.436
Tb: 0.858 0.966 0.250
Tb: 0.328 0.817 0.064
Co: 0.500 0.500 0.000
Co: 0.000 0.000 0.500
Pd: 0.943 0.386 0.751
Pd: 0.057 0.614 0.249
Pd: 0.557 0.886 0.749
Pd: 0.443 0.114 0.251


This record from Alexandria describes a relaxed structure of Ba2PrBi3Pd4. The functional is PBE.

## Properties
Crystal system   tetragonal
ΔE_f   -661 kJ/mol of formula units
DOS(E_F)   0.608 states/eV/atom
VASP energy   -0.3520 Ry per atom
Mass density   8.7 Mg/m³

a = 4.867 Å, b = 4.867 Å, c = 11.763 Å
α = 90.00°, β = 90.00°, γ = 90.00°
Sites, in units of the cell vectors:
Pr: 0.500 0.500 0.500
Bi: 0.500 0.000 0.880
Bi: 0.000 0.000 0.500
Bi: 0.000 0.500 0.120
Pd: 0.000 0.500 0.357
Pd: 0.500 0.500 0.000
Pd: 0.500 0.000 0.643
Pd: 0.000 0.000 0.000
Ba: 0.000 0.500 0.776
Ba: 0.500 0.000 0.224


This record from Alexandria describes a relaxed structure of Ac3ThTe6. The functional is PBE.

## Properties
Crystal system   monoclinic
Uncorrected formation energy   -12.9 eV/f.u.
DOS(E_F)   0.360 states/eV/atom
VASP energy   -0.3782 Ry per atom
Mass density   6.4 Mg/m³
Excess energy over the best structure of this formula in the dataset   135.5 meV/atom

a = 7.951 Å, b = 8.398 Å, c = 8.398 Å
α = 65.18°, β = 63.81°, γ = 63.81°
Sites, in units of the cell vectors:
Ac: 0.320 0.251 0.251
Ac: 0.680 0.749 0.749
Ac: 0.000 0.000 0.000
Te: 0.108 0.737 0.737
Te: 0.657 0.332 0.834
Te: 0.892 0.263 0.263
Te: 0.657 0.834 0.332
Te: 0.343 0.166 0.668
Te: 0.343 0.668 0.166
Th: 0.500 0.500 0.500


This record from Alexandria describes a relaxed structure of NdTmTlGa. The functional is PBE.

## Properties
Crystal system   tetragonal
ΔE_f   -175 kJ/mol of formula units
DOS(E_F)   0.515 states/eV/atom
VASP energy   -0.3022 Ry per atom
Mass density   9.5 Mg/m³
Excess energy over the best structure of this formula in the dataset   0.0 meV/atom

a = 3.660 Å, b = 3.660 Å, c = 7.700 Å
α = 90.00°, β = 90.00°, γ = 90.00°
Sites, in units of the cell vectors:
Ga: 0.000 0.000 0.372
Tl: 0.000 0.000 0.841
Nd: 0.500 0.500 0.125
Tm: 0.500 0.500 0.589


This record from Alexandria describes a relaxed structure of ScZnOs2. The functional is PBE.

## Properties
Crystal system   orthorhombic
ΔE_f   -17 kJ/mol of formula units
DOS(E_F)   0.883 states/eV/atom
VASP energy   -0.5556 Ry per atom
Mass density   13.1 Mg/m³

a = 5.362 Å, b = 5.362 Å, c = 5.362 Å
α = 146.87°, β = 131.80°, γ = 59.74°
Sites, in units of the cell vectors:
Sc: 0.494 0.494 0.000
Zn: 0.766 0.266 0.500
Os: 0.234 0.734 0.500
Os: 0.005 0.005 0.000


This record from Alexandria describes a relaxed structure of LaThNiPd. The functional is PBE.

## Properties
Crystal system   orthorhombic
ΔE_f   -218 kJ/mol of formula units
DOS(E_F)   0.826 states/eV/atom
VASP energy   -0.4701 Ry per atom
Mass density   9.3 Mg/m³
Excess energy over the best structure of this formula in the dataset   0.0 meV/atom

a = 3.848 Å, b = 4.363 Å, c = 6.029 Å
α = 90.00°, β = 108.61°, γ = 90.00°
Sites, in units of the cell vectors:
Ni: 0.405 0.000 0.810
Pd: 0.581 0.500 0.163
Th: 0.872 0.500 0.743
La: 0.142 0.000 0.285


This record from Alexandria describes a relaxed structure of Hg3BrO. The functional is PBE.

## Properties
Crystal system   cubic
Uncorrected formation energy   4.1 eV/f.u.
DOS(E_F)   2.373 states/eV/atom
VASP energy   -0.0500 Ry per atom
Mass density   5.8 Mg/m³
Excess energy over the best structure of this formula in the dataset   1055.1 meV/atom

a = 5.836 Å, b = 5.836 Å, c = 5.836 Å
α = 90.00°, β = 90.00°, γ = 90.00°
Sites, in units of the cell vectors:
Hg: 0.500 0.000 0.000
Hg: 0.000 0.500 0.000
Hg: 0.000 0.000 0.500
Br: 0.000 0.000 0.000
O: 0.500 0.500 0.500


This record from Alexandria describes a relaxed structure of DyEr3Pd4. The functional is PBE.

## Properties
Crystal system   tetragonal
ΔE_f   -707 kJ/mol of formula units
DOS(E_F)   0.442 states/eV/atom
VASP energy   -0.4262 Ry per atom
Mass density   10.7 Mg/m³

a = 4.972 Å, b = 6.835 Å, c = 9.946 Å
α = 90.00°, β = 90.00°, γ = 90.00°
Sites, in units of the cell vectors:
Er: 0.000 0.000 0.500
Er: 0.500 0.000 0.750
Er: 0.000 0.000 0.000
Er: 0.500 0.000 0.250
Er: 0.500 0.500 0.250
Er: 0.500 0.500 0.750
Pd: 0.500 0.752 0.000
Pd: 0.500 0.248 0.000
Pd: 0.000 0.248 0.750
Pd: 0.000 0.752 0.750
Pd: 0.000 0.248 0.250
Pd: 0.500 0.752 0.500
Pd: 0.500 0.248 0.500
Pd: 0.000 0.752 0.250
Dy: 0.000 0.500 0.000
Dy: 0.000 0.500 0.500


This record from Alexandria describes a relaxed structure of TbSc2In2Ag2. The functional is PBE.

## Properties
Crystal system   trigonal
ΔE_f   -179 kJ/mol of formula units
DOS(E_F)   0.781 states/eV/atom
VASP energy   -0.3184 Ry per atom
Mass density   7.1 Mg/m³

a = 4.752 Å, b = 4.752 Å, c = 8.745 Å
α = 74.23°, β = 74.23°, γ = 60.00°
Sites, in units of the cell vectors:
Ag: 0.564 0.564 0.309
Ag: 0.436 0.436 0.691
Sc: 0.865 0.865 0.405
Sc: 0.135 0.135 0.595
In: 0.739 0.739 0.782
In: 0.261 0.261 0.218
Tb: 0.000 0.000 0.000


This record from Alexandria describes a relaxed structure of LiTh2SiPt6. The functional is PBE.

## Properties
Crystal system   trigonal
Uncorrected formation energy   -8.9 eV/f.u.
DOS(E_F)   0.376 states/eV/atom
VASP energy   -0.4947 Ry per atom
Mass density   13.8 Mg/m³

a = 5.676 Å, b = 7.906 Å, c = 7.905 Å
α = 42.08°, β = 68.96°, γ = 90.00°
Sites, in units of the cell vectors:
Pt: 0.249 0.751 0.015
Pt: 0.264 0.249 0.985
Pt: 0.751 0.249 0.985
Pt: 0.736 0.751 0.015
Pt: 0.751 0.737 0.498
Pt: 0.249 0.263 0.502
Si: 0.000 0.000 0.000
Li: 0.500 0.500 0.000
Th: 0.210 0.791 0.581
Th: 0.790 0.209 0.419


This record from Alexandria describes a relaxed structure of CuHg2Os. The functional is PBE.

## Properties
Crystal system   orthorhombic
ΔE_f   309 kJ/mol of formula units
DOS(E_F)   0.611 states/eV/atom
VASP energy   -0.2339 Ry per atom
Mass density   15.8 Mg/m³
Excess energy over the best structure of this formula in the dataset   203.8 meV/atom

a = 5.444 Å, b = 5.444 Å, c = 5.444 Å
α = 147.09°, β = 127.45°, γ = 63.41°
Sites, in units of the cell vectors:
Cu: 0.250 0.750 0.500
Hg: 0.486 0.486 0.000
Hg: 0.014 0.014 0.000
Os: 0.750 0.250 0.500


This record from Alexandria describes a relaxed structure of NiPIr3. The functional is PBE.

## Properties
Crystal system   cubic
ΔE_f   367 kJ/mol of formula units
DOS(E_F)   1.587 states/eV/atom
VASP energy   -0.4994 Ry per atom
Mass density   13.3 Mg/m³
Excess energy over the best structure of this formula in the dataset   0.0 meV/atom

a = 4.360 Å, b = 4.360 Å, c = 4.360 Å
α = 90.00°, β = 90.00°, γ = 90.00°
Sites, in units of the cell vectors:
P: 0.000 0.000 0.000
Ir: 0.500 0.000 0.000
Ir: 0.000 0.000 0.500
Ir: 0.000 0.500 0.000
Ni: 0.500 0.500 0.500